No. 1
GGA-PBE In5Cl, relaxed; density of states at the Fermi level = 0.392 states/eV/atom; space group = Cmmm; total DFT energy (no corrections) = -16.5 eV for the cell shown; total magnetic moment = 0.000 μB/f.u.
1.0
2.8017 -8.4611 0.0000
2.8017 8.4611 0.0000
0.0000 0.0000 3.4360
In Cl
5 1
direct
0.0000 0.0000 0.0000
0.1655 0.8345 0.5000
0.3341 0.6659 0.0000
0.6659 0.3341 0.0000
0.8345 0.1655 0.5000
0.5000 0.5000 0.5000

***

No. 2
GGA-PBE InCl3, relaxed; density of states at the Fermi level = 0.000 states/eV/atom; space group = Cmcm; total DFT energy (no corrections) = -24.5 eV for the cell shown; total magnetic moment = 0.000 μB/f.u.
1.0
1.7193 -6.5046 0.0000
1.7193 6.5046 0.0000
0.0000 0.0000 11.2373
In Cl
2 6
direct
0.2059 0.7941 0.7500
0.7941 0.2059 0.2500
0.1458 0.8542 0.2500
0.3684 0.6316 0.1014
0.3684 0.6316 0.3986
0.6316 0.3684 0.6014
0.6316 0.3684 0.8986
0.8542 0.1458 0.7500

***

- Number 1 is which compound?
  In5Cl

***

- Which value of total DFT energy (no corrections) does entry 1 give?
  -16.5 eV for the cell shown

***

- The highest density of states at the Fermi level belongs to which entry?
  In5Cl